K3VMo3H4O15: optimized geometry, PBE+U.

Computed properties:
* D(E_F): 0.0 states/eV per cell
* magnetization: 0.1 μB/f.u.
* calculated volume: 14.01 Å³ per atom
* final energy: -6.23 eV/atom
* crystal system: monoclinic

abc: 9.4157 9.9543 9.9543
angles: 82.53 62.41 62.41
Last column: nearest neighbours and their distance in Å.
Fractional coordinates of all 52 atoms:
Mo  0.5417  0.2710  0.2710  2 O 1.74-1.77
Mo  0.7744  0.8931  0.2422  3 O 1.75-1.93
Mo  0.4583  0.7290  0.7290  2 O 1.74-1.77
Mo  0.7744  0.2422  0.8931  3 O 1.75-1.93
Mo  0.2256  0.1069  0.7578  3 O 1.75-1.93
Mo  0.2256  0.7578  0.1069  3 O 1.75-1.93
O  0.8543  0.2271  0.5019  2 H 0.98-0.99
O  0.0027  0.9426  0.2302  1 V 1.94, 1 Mo 1.98
O  0.2071  0.7489  0.7489  1 V 1.77, 2 H 1.79
O  0.6058  0.7648  0.7648  1 Mo 1.77
O  0.6188  0.3686  0.0862  2 Mo 1.93-1.95
O  0.8544  0.8525  0.8525  1 V 1.65
O  0.6188  0.0862  0.3686  2 Mo 1.93-1.95
O  0.8543  0.5019  0.2271  2 H 0.98-0.99
O  0.9973  0.7698  0.0574  1 V 1.94, 1 Mo 1.98
O  0.7929  0.2511  0.2511  1 V 1.77, 2 H 1.79
O  0.3942  0.2352  0.2352  1 Mo 1.77
O  0.6194  0.8674  0.2110  1 Mo 1.75
O  0.9973  0.0574  0.7698  1 V 1.94, 1 Mo 1.98
O  0.1945  0.6171  0.2248  1 Mo 1.75
O  0.1945  0.2248  0.6171  1 Mo 1.75
O  0.8119  0.0600  0.0600  1 V 2.06, 2 Mo 2.31
O  0.0027  0.2302  0.9426  1 V 1.94, 1 Mo 1.98
O  0.3993  0.4186  0.4186  1 Mo 1.74
O  0.6007  0.5814  0.5814  1 Mo 1.74
O  0.1457  0.7729  0.4981  2 H 0.98-0.99
O  0.8055  0.7752  0.3829  1 Mo 1.75
O  0.3806  0.7890  0.1326  1 Mo 1.75
O  0.3812  0.6314  0.9138  2 Mo 1.93-1.95
O  0.3806  0.1326  0.7890  1 Mo 1.75
O  0.1456  0.1475  0.1475  1 V 1.65
O  0.6194  0.2110  0.8674  1 Mo 1.75
O  0.3812  0.9138  0.6314  2 Mo 1.93-1.95
O  0.1881  0.9400  0.9400  1 V 2.06, 2 Mo 2.31
O  0.8055  0.3829  0.7752  1 Mo 1.75
O  0.1457  0.4981  0.7729  2 H 0.98-0.99
K  0.7712  0.5932  0.9796  8 O 2.84-3.13, 1 H 3.10
K  0.5000  0.0000  0.0000  6 O 2.63-2.74
K  0.7712  0.9796  0.5932  8 O 2.84-3.13, 1 H 3.10
K  0.2288  0.4068  0.0204  8 O 2.84-3.13, 1 H 3.10
K  0.0000  0.5000  0.5000  6 O 2.95-3.16, 4 H 3.22
K  0.2288  0.0204  0.4068  8 O 2.84-3.13, 1 H 3.10
H  0.2316  0.4253  0.6814  1 O 0.98
H  0.8223  0.2470  0.4169  1 O 0.99
H  0.2316  0.6814  0.4253  1 O 0.98
H  0.7684  0.3186  0.5747  1 O 0.98
H  0.1777  0.7530  0.5831  1 O 0.99
H  0.8223  0.4169  0.2470  1 O 0.99
H  0.1777  0.5831  0.7530  1 O 0.99
H  0.7684  0.5747  0.3186  1 O 0.98
V  0.0066  0.1149  0.1149  2 O 1.65-1.77
V  0.9934  0.8851  0.8851  2 O 1.65-1.77